Entry 1:
## Li2Sc4Sb3O2 (PBE-GGA)

Data for a relaxed Li2Sc4Sb3O2 crystal.

a b c (Å): 11.985 11.985 11.985
angles (deg): 159.09 159.09 29.74
Element x y z (fractional)
Li1 0.195 0.195 0.000
Li2 0.805 0.805 0.000
Sc1 0.091 0.591 0.500
Sc2 0.409 0.909 0.500
Sc3 0.591 0.091 0.500
Sc4 0.909 0.409 0.500
Sb1 0.320 0.320 0.000
Sb2 0.500 0.500 0.000
Sb3 0.680 0.680 0.000
O1 0.092 0.092 0.000
O2 0.908 0.908 0.000

- DOS at the Fermi energy (states/eV/cell) = 2.4
- size of the total moment (μB/cell) = 0.00
- raw formation energy (eV/atom) = -1.567

***

Entry 2:
## InSnBr2F (PBE-GGA)

Data for a relaxed InSnBr2F crystal.

a b c (Å): 8.299 4.332 9.022
angles (deg): 90.00 108.41 90.00
Element x y z (fractional)
In1 0.192 0.250 0.399
In2 0.808 0.750 0.601
Sn1 0.346 0.750 0.824
Sn2 0.654 0.250 0.176
Br1 0.120 0.250 0.855
Br2 0.456 0.750 0.287
Br3 0.544 0.250 0.713
Br4 0.880 0.750 0.145
F1 0.195 0.750 0.588
F2 0.805 0.250 0.412

- DOS at the Fermi energy (states/eV/cell) = 0.0
- size of the total moment (μB/cell) = 0.00
- raw formation energy (eV/atom) = -1.162
- offset from the most stable computed form (eV/atom) = 0.000

***

Entry 3:
## Pm6Ho3Cd (PBE-GGA)

Data for a relaxed Pm6Ho3Cd crystal.

a b c (Å): 11.121 5.085 11.341
angles (deg): 90.00 91.56 90.00
Element x y z (fractional)
Pm1 0.047 0.250 0.395
Pm2 0.142 0.750 0.186
Pm3 0.153 0.250 0.691
Pm4 0.240 0.250 0.995
Pm5 0.347 0.750 0.799
Pm6 0.449 0.250 0.602
Pm7 0.551 0.750 0.398
Pm8 0.653 0.250 0.201
Pm9 0.760 0.750 0.005
Pm10 0.847 0.750 0.309
Pm11 0.858 0.250 0.814
Pm12 0.953 0.750 0.605
Ho1 0.248 0.750 0.492
Ho2 0.349 0.250 0.293
Ho3 0.450 0.750 0.099
Ho4 0.550 0.250 0.901
Ho5 0.651 0.750 0.707
Ho6 0.752 0.250 0.508
Cd1 0.050 0.750 0.897
Cd2 0.950 0.250 0.103

- ΔH_f (0 K) (eV/atom) = -0.0204
- DOS at the Fermi energy (states/eV/cell) = 28.3
- size of the total moment (μB/cell) = 0.00

***

Entry 4:
## KZrIn (PBE-GGA)

Data for a relaxed KZrIn crystal.

a b c (Å): 3.256 6.901 9.345
angles (deg): 69.50 89.98 76.38
Element x y z (fractional)
K1 0.000 0.000 0.000
K2 0.296 0.388 0.235
Zr1 0.011 0.976 0.605
Zr2 0.694 0.610 0.788
In1 0.322 0.356 0.630
In2 0.610 0.777 0.402

- ΔH_f (0 K) (eV/atom) = 0.1860
- DOS at the Fermi energy (states/eV/cell) = 2.1
- size of the total moment (μB/cell) = 0.00
- offset from the most stable computed form (eV/atom) = 0.237

***

| no. | calculated volume (Å³/cell) |
| --- | --- |
| 1 | 219 |
| 2 | 308 |
| 3 | 641 |
| 4 | 190 |